Record 1
# Dy6Rh2S

A relaxed structure of Dy6Rh2S (GGA-PBE, Alexandria).

- uncorrected formation energy (eV per atom) = -0.84
- crystal system = monoclinic

Unit cell a=6.4660 b=7.1999 c=11.6732 alpha=90.00 beta=121.97 gamma=90.00
Last column: nearest neighbours and their distance in Å.
Space group P2_1/c (No. 14)
Inequivalent atoms, fractional coordinates:
Dy  0.0870  0.1810  0.4272 [4 per cell]  1 S 2.67, 2 Rh 2.81-2.97
Dy  0.2490  0.6682  0.4294 [4 per cell]  1 S 2.76, 2 Rh 2.84-2.93
Dy  0.3959  0.0470  0.2455 [4 per cell]  1 S 2.70, 2 Rh 2.78-2.84
Rh  0.1917  0.1123  0.7437 [4 per cell]  6 Dy 2.78-2.97
S  0.5000  0.0000  0.5000 [2 per cell]  6 Dy 2.67-2.76


Record 2
# Dy4RhSe2S

A relaxed structure of Dy4RhSe2S (GGA-PBE, Alexandria).

- uncorrected formation energy (eV per atom) = -1.56
- crystal system = monoclinic

Unit cell a=7.0628 b=3.9671 c=7.0975 alpha=90.00 beta=108.77 gamma=90.00
Last column: nearest neighbours and their distance in Å.
Space group P2/m (No. 10)
Inequivalent atoms, fractional coordinates:
Dy  0.2352  0.0000  0.2262 [2 per cell]  2 Rh 2.75, 1 S 2.83, 3 Se 2.94-2.98
Dy  0.2530  0.5000  0.7679 [2 per cell]  1 Rh 2.79, 2 S 2.80, 3 Se 2.92-2.97
Rh  0.0000  0.5000  0.0000 [1 per cell]  6 Dy 2.75-2.79
Se  0.0000  0.0000  0.5000 [1 per cell]  6 Dy 2.92-2.94
Se  0.5000  0.5000  0.5000 [1 per cell]  6 Dy 2.97-2.98
S  0.5000  0.0000  0.0000 [1 per cell]  6 Dy 2.80-2.83


Record 3
# Dy3Sb2Rh6

A relaxed structure of Dy3Sb2Rh6 (GGA-PBE, Alexandria).

- uncorrected formation energy (eV per atom) = -0.74
- crystal system = cubic

Unit cell a=9.4727 b=9.4727 c=9.4727 alpha=90.00 beta=90.00 gamma=90.00
Last column: nearest neighbours and their distance in Å.
Space group Im-3m (No. 229)
Inequivalent atoms, fractional coordinates:
Dy  0.0000  0.0000  0.2869 [12 per cell]  4 Rh 2.85
Sb  0.2500  0.2500  0.2500 [8 per cell]  6 Rh 2.72
Rh  0.0000  0.3496  0.3496 [24 per cell]  2 Sb 2.72, 6 Rh 2.76-2.85, 2 Dy 2.85


Record 4
# Dy12Sb6Rh

A relaxed structure of Dy12Sb6Rh (GGA-PBE, Alexandria).

- uncorrected formation energy (eV per atom) = -0.68
- crystal system = trigonal

Unit cell a=13.0784 b=13.0784 c=12.0318 alpha=90.00 beta=90.00 gamma=120.00
Last column: nearest neighbours and their distance in Å.
Space group R-3 (No. 148, hexagonal axes)
Inequivalent atoms, fractional coordinates:
Dy  0.0288  0.1905  0.3862 [18 per cell]  4 Sb 3.05-3.26
Dy  0.0603  0.1934  0.8795 [18 per cell]  1 Rh 2.67
Sb  0.0450  0.2839  0.6399 [18 per cell]  7 Dy 3.05-3.28
Rh  0.0000  0.0000  0.0000 [3 per cell]  6 Dy 2.67


Record 5
# DySbRh4

A relaxed structure of DySbRh4 (GGA-PBE, Alexandria).

- uncorrected formation energy (eV per atom) = -0.30
- polymorph energy (0 for the lowest one) (kJ per mole of atoms) = 11.2
- crystal system = orthorhombic

Unit cell a=4.6941 b=14.0844 c=6.7669 alpha=90.00 beta=90.00 gamma=90.00
Last column: nearest neighbours and their distance in Å.
Space group Cmcm (No. 63)
Inequivalent atoms, fractional coordinates:
Dy  0.0000  0.1086  0.2500 [4 per cell]  1 Rh 2.63
Sb  0.0000  0.3549  0.2500 [4 per cell]  6 Rh 2.53-2.65
Rh  0.0000  0.0781  0.7500 [4 per cell]  2 Sb 2.53, 1 Dy 2.63
Rh  0.0000  0.2610  0.5713 [8 per cell]  3 Rh 2.42-2.56, 1 Sb 2.54
Rh  0.0000  0.5000  0.0000 [4 per cell]  2 Sb 2.65


Record 6
# DySb2Rh3

A relaxed structure of DySb2Rh3 (GGA-PBE, Alexandria).

- uncorrected formation energy (eV per atom) = -0.71
- crystal system = monoclinic

Unit cell a=17.4299 b=4.1775 c=10.1007 alpha=90.00 beta=107.34 gamma=90.00
Last column: nearest neighbours and their distance in Å.
Space group C2/m (No. 12)
Inequivalent atoms, fractional coordinates:
Dy  0.0000  0.0000  0.0000 [2 per cell]  6 Rh 3.12-3.17, 6 Sb 3.16-3.27
Dy  0.1631  0.0000  0.7104 [4 per cell]  5 Rh 3.19-3.47, 6 Sb 3.20-3.34
Sb  0.0421  0.5000  0.7820 [4 per cell]  5 Rh 2.57-2.79
Sb  0.1389  0.5000  0.4590 [4 per cell]  7 Rh 2.54-2.77
Sb  0.1895  0.0000  0.1249 [4 per cell]  6 Rh 2.59-2.68
Rh  0.0000  0.5000  0.5000 [2 per cell]  4 Sb 2.58-2.72
Rh  0.0412  0.0000  0.3275 [4 per cell]  4 Sb 2.60-2.77, 1 Rh 2.90
Rh  0.1127  0.5000  0.1924 [4 per cell]  4 Sb 2.59-2.79
Rh  0.1833  0.5000  0.9568 [4 per cell]  4 Sb 2.57-2.67
Rh  0.2147  0.0000  0.3927 [4 per cell]  4 Sb 2.54-2.66


Record 7
# DySbRh3

A relaxed structure of DySbRh3 (GGA-PBE, Alexandria).

- uncorrected formation energy (eV per atom) = -0.57
- polymorph energy (0 for the lowest one) (kJ per mole of atoms) = 0.0
- crystal system = orthorhombic

Unit cell a=5.8202 b=12.6141 c=5.0811 alpha=90.00 beta=90.00 gamma=90.00
Last column: nearest neighbours and their distance in Å.
Space group Cmcm (No. 63)
Inequivalent atoms, fractional coordinates:
Dy  0.0000  0.0943  0.2500 [4 per cell]  10 Rh 3.09-3.39, 2 Sb 3.12
Sb  0.0000  0.3170  0.7500 [4 per cell]  4 Rh 2.54-2.63
Rh  0.0000  0.5000  0.0000 [4 per cell]  6 Rh 2.54-2.73, 2 Sb 2.63
Rh  0.2312  0.3411  0.2500 [8 per cell]  1 Sb 2.54, 3 Rh 2.69-2.73


Record 8
# Dy5SbRh2

A relaxed structure of Dy5SbRh2 (GGA-PBE, Alexandria).

- uncorrected formation energy (eV per atom) = -0.79
- crystal system = tetragonal

Unit cell a=7.7841 b=7.7841 c=13.3027 alpha=90.00 beta=90.00 gamma=90.00
Last column: nearest neighbours and their distance in Å.
Space group I4/mcm (No. 140)
Inequivalent atoms, fractional coordinates:
Dy  0.0000  0.0000  0.0000 [4 per cell]  4 Rh 3.01, 2 Sb 3.33
Dy  0.1567  0.3433  0.1365 [16 per cell]  3 Rh 2.89-2.94
Sb  0.0000  0.0000  0.2500 [4 per cell]  10 Dy 3.30-3.33
Rh  0.1394  0.3606  0.5000 [8 per cell]  8 Dy 2.89-3.01, 1 Rh 3.07